Entry 1:
Rb2CeNp3O12 after structural relaxation. Source: the Alexandria database, functional PBE.

It has space group R-3m (No. 166, hexagonal axes), with a = 7.9640 Å, b = 7.9640 Å, c = 19.0748 Å, α = 90.00°, β = 90.00° and γ = 120.00°. The distinct sites, in fractional coordinates, are Rb at (0.0000, 0.0000, 0.1284), Ce at (0.0000, 0.0000, 0.5000), Np at (0.0000, 0.5000, 0.0000), O at (0.0586, 0.5293, 0.1029) and O at (0.0801, 0.5401, 0.3507).

For the spin magnetization, the calculation gives 9.35 μB/cell. The energy relative to the elements, uncorrected comes out at -2.76 eV/atom.

Entry 2:
Rb3Ce3NpO8 after structural relaxation. Source: the Alexandria database, functional PBE.

It has space group R-3m (No. 166, hexagonal axes), with a = 7.2557 Å, b = 7.2557 Å, c = 19.9722 Å, α = 90.00°, β = 90.00° and γ = 120.00°. The distinct sites, in fractional coordinates, are Rb at (0.0000, 0.5000, 0.0000), Ce at (0.0000, 0.5000, 0.5000), Np at (0.0000, 0.0000, 0.5000), O at (0.0000, 0.0000, 0.2250) and O at (0.0118, 0.5059, 0.2221).

For the spin magnetization, the calculation gives 4.12 μB/cell. The energy relative to the elements, uncorrected comes out at -2.65 eV/atom.

Copy entry 1 word for word.
Rb2CeNp3O12 after structural relaxation. Source: the Alexandria database, functional PBE.

It has space group R-3m (No. 166, hexagonal axes), with a = 7.9640 Å, b = 7.9640 Å, c = 19.0748 Å, α = 90.00°, β = 90.00° and γ = 120.00°. The distinct sites, in fractional coordinates, are Rb at (0.0000, 0.0000, 0.1284), Ce at (0.0000, 0.0000, 0.5000), Np at (0.0000, 0.5000, 0.0000), O at (0.0586, 0.5293, 0.1029) and O at (0.0801, 0.5401, 0.3507).

For the spin magnetization, the calculation gives 9.35 μB/cell. The energy relative to the elements, uncorrected comes out at -2.76 eV/atom.

Q: Number 2 is which compound?
A: Rb3Ce3NpO8